A plane-wave DFT calculation with PBE was carried out for a relaxed Th2Zn6Au3 crystal.

## Properties
* ΔE_f: -3.9 eV per formula unit
* total energy: -36.253 eV per cell
* V: 20.08 A^3/atom
* symmetry: P-62m, No. 189

Unit cell a=4.0200 b=7.9645 c=7.9645 alpha=120.00 beta=90.00 gamma=90.00
Atoms (fractional coordinates):
Zn: 0.5000 0.7241 0.7241
Zn: 0.0000 0.0000 0.8161
Zn: 0.0000 0.8161 0.0000
Zn: 0.5000 0.2759 0.0000
Zn: 0.0000 0.1839 0.1839
Zn: 0.5000 0.0000 0.2759
Th: 0.0000 0.3333 0.6667
Th: 0.0000 0.6667 0.3333
Au: 0.5000 0.0000 0.6061
Au: 0.5000 0.3939 0.3939
Au: 0.5000 0.6061 0.0000

---

A plane-wave DFT calculation with PBE was carried out for a relaxed HgRh crystal.

## Properties
* ΔE_f: 0.5 eV per formula unit
* total energy: -42.939 eV per cell
* V: 17.57 A^3/atom
* symmetry: Amm2, No. 38

Unit cell a=4.7501 b=8.6404 c=5.1360 alpha=90.00 beta=90.00 gamma=90.00
Atoms (fractional coordinates):
Hg: 0.0000 0.6755 0.6841
Hg: 0.0000 0.3245 0.6841
Hg: 0.5000 0.5000 0.4811
Hg: 0.0000 0.8245 0.1841
Hg: 0.5000 0.0000 0.9811
Hg: 0.0000 0.1755 0.1841
Rh: 0.5000 0.3421 0.0021
Rh: 0.0000 0.5000 0.1484
Rh: 0.5000 0.8421 0.5021
Rh: 0.0000 0.0000 0.6484
Rh: 0.5000 0.1579 0.5021
Rh: 0.5000 0.6579 0.0021

---

A plane-wave DFT calculation with PBE was carried out for a relaxed Li2CaRu crystal.

## Properties
* ΔE_f: 1.3 eV per formula unit
* total energy: -13.831 eV per cell
* V: 17.90 A^3/atom
* energy above the most stable polymorph in this dataset: 0.058 eV per atom
* symmetry: I-4m2, No. 119

Unit cell a=5.1102 b=5.1102 c=5.1102 alpha=132.29 beta=132.29 gamma=69.77
Atoms (fractional coordinates):
Li: 0.2500 0.7500 0.5000
Li: 0.0000 0.0000 0.0000
Ca: 0.7500 0.2500 0.5000
Ru: 0.5000 0.5000 0.0000

---

A plane-wave DFT calculation with PBE was carried out for a relaxed NaCuH3 crystal.

## Properties
* total energy: -15.695 eV per cell
* V: 8.55 A^3/atom
* energy above the most stable polymorph in this dataset: 0.029 eV per atom
* symmetry: Pm-3m, No. 221

Unit cell a=3.4967 b=3.4967 c=3.4967 alpha=90.00 beta=90.00 gamma=90.00
Atoms (fractional coordinates):
H: 0.0000 0.5000 0.0000
H: 0.0000 0.0000 0.5000
H: 0.5000 0.0000 0.0000
Cu: 0.0000 0.0000 0.0000
Na: 0.5000 0.5000 0.5000

---

A plane-wave DFT calculation with PBE was carried out for a relaxed Sm13Er2 crystal.

## Properties
* ΔE_f: 0.9 eV per formula unit
* total energy: -69.550 eV per cell
* V: 33.16 A^3/atom
* symmetry: P-1, No. 2

Unit cell a=6.7080 b=9.0626 c=9.0636 alpha=113.79 beta=82.12 gamma=97.92
Atoms (fractional coordinates):
Sm: 0.6034 0.3979 0.5954
Sm: 0.8050 0.1954 0.7935
Sm: 0.8976 0.4366 0.2359
Sm: 0.4973 0.8315 0.8349
Sm: 0.3052 0.0392 0.6383
Sm: 0.5027 0.1685 0.1651
Sm: 0.6948 0.9608 0.3617
Sm: 0.1024 0.5634 0.7641
Sm: 0.2975 0.3714 0.9734
Sm: 0.3966 0.6021 0.4046
Sm: 0.7025 0.6286 0.0266
Sm: 0.1950 0.8046 0.2065
Sm: 0.0000 0.0000 0.0000
Er: 0.9018 0.7698 0.5703
Er: 0.0982 0.2302 0.4297

---

A plane-wave DFT calculation with PBE was carried out for a relaxed HoBOs2 crystal.

## Properties
* ΔE_f: 0.7 eV per formula unit
* total energy: -32.987 eV per cell
* V: 15.31 A^3/atom
* symmetry: R-3m, No. 166

Unit cell a=3.1407 b=3.1407 c=7.3937 alpha=77.74 beta=77.74 gamma=60.00
Atoms (fractional coordinates):
Os: 0.7236 0.7236 0.8291
Os: 0.2764 0.2764 0.1709
B: 0.0000 0.0000 0.0000
Ho: 0.5000 0.5000 0.5000